Computed, not measured: a geometry-optimized Ca4BiPb2 structure at the PBE-GGA level of DFT.

Calculated values
- crystal system = tetragonal
- size of the total moment (μB per formula unit) = 0.0
- E (eV/atom) = -3.05
- ΔH_f (0 K) (eV/atom) = -0.29

a b c (Å): 5.9674 5.9674 8.8491
angles (deg): 70.29 70.29 90.00
Last column: nearest neighbours and their distance in Å.
Atoms (fractional coordinates):
Ca1 0.5000 0.0000 0.0000  2 Bi 2.98
Ca2 0.1947 0.1947 0.6107  1 Bi 3.03, 1 Pb 3.08
Bi1 0.0000 0.0000 0.0000  6 Ca 2.98-3.03
Ca3 0.0000 0.5000 0.0000  2 Bi 2.98
Pb1 0.3927 0.3927 0.2145  5 Ca 3.08-3.42, 1 Pb 3.34
Pb2 0.6073 0.6073 0.7855  5 Ca 3.08-3.42, 1 Pb 3.34
Ca4 0.8053 0.8053 0.3893  1 Bi 3.03, 1 Pb 3.08

---

Computed, not measured: a geometry-optimized CePuNiOs structure at the PBE-GGA level of DFT.

Calculated values
- crystal system = cubic
- size of the total moment (μB per formula unit) = 4.9
- E (eV/atom) = -9.41
- ΔH_f (0 K) (eV/atom) = -0.09

a b c (Å): 4.6333 4.6333 4.6333
angles (deg): 60.00 60.00 60.00
Last column: nearest neighbours and their distance in Å.
Atoms (fractional coordinates):
Pu1 0.0000 0.0000 0.0000  4 Ce 2.84, 4 Ni 2.84
Os1 0.5000 0.5000 0.5000  4 Ni 2.84, 4 Ce 2.84
Ce1 0.2500 0.2500 0.2500  4 Os 2.84, 4 Pu 2.84
Ni1 0.7500 0.7500 0.7500  4 Os 2.84, 4 Pu 2.84